3
Lattice="3.0146 0.0000 0.0000 -1.5073 2.6107 0.0000 0.0000 0.0000 7.1087" Properties=species:S:1:pos:R:3 comment="ScAl2 SCAN PBEsol geometry" total_magnetization_mub_per_fu=0.5 sg=P-3m1 dos_at_fermi_per_ev_fu=2.82 crystal_system=trigonal dft_energy_ev_per_cell=-29.95 volume_a3_per_fu=55.9 pbc="T T T"
Sc 0.0000 0.0000 0.0000
Al 0.0000 1.7405 2.4349
Al 1.5073 0.8702 4.6738

3
Lattice="-1.5616 1.5616 6.3116 1.5616 -1.5616 6.3116 1.5616 1.5616 -6.3116" Properties=species:S:1:pos:R:3 comment="Sc2Al SCAN PBEsol geometry" total_magnetization_mub_per_fu=0.4 sg=I4/mmm dos_at_fermi_per_ev_fu=2.71 crystal_system=tetragonal dft_energy_ev_per_cell=-37.17 volume_a3_per_fu=61.6 pbc="T T T"
Sc 0.0000 0.0000 1.9624
Sc 0.0000 0.0000 10.6609
Al 0.0000 0.0000 6.3116

4
Lattice="3.1824 0.0000 0.0000 0.0000 4.9320 0.0000 0.0000 0.0000 5.4139" Properties=species:S:1:pos:R:3 comment="Sc3Al SCAN PBEsol geometry" total_magnetization_mub_per_fu=0.0 sg=Pmm2 dos_at_fermi_per_ev_fu=5.47 crystal_system=orthorhombic dft_energy_ev_per_cell=-51.00 volume_a3_per_fu=85.0 pbc="T T T"
Sc 0.0000 0.0000 0.0000
Sc 0.0000 2.4660 1.8946
Sc 1.5912 2.4660 4.5246
Al 1.5912 0.0000 2.8019